K3SnMo | GGA-PBEsol | optimized geometry

Geometry as POSCAR:
```
K3SnMo
1.0
6.625 0.000 0.000
0.000 6.625 0.000
0.000 0.000 6.625
K Mo Sn
3 1 1
Direct
0.000 0.500 0.000
0.000 0.000 0.500
0.500 0.000 0.000
0.500 0.500 0.500
0.000 0.000 0.000
```

Output
size of the total moment	7.027	μB/cell
energy relative to the elements	6.62	eV per formula unit

---

KSrMo3 | GGA-PBEsol | optimized geometry

Geometry as POSCAR:
```
KSrMo3
1.0
-3.100 0.027 3.831
3.143 -2.800 2.563
2.190 4.056 1.744
Sr Mo K
1 3 1
Direct
0.000 0.000 0.000
0.000 0.500 0.000
0.000 0.000 0.500
0.500 0.000 0.000
0.500 0.500 0.500
```

Output
size of the total moment	0.002	μB/cell
energy relative to the elements	15.84	eV per formula unit

---

K2SrMo | GGA-PBEsol | optimized geometry

Geometry as POSCAR:
```
K2SrMo
1.0
3.818 0.000 0.000
0.000 3.818 0.000
0.000 0.000 12.141
K Mo Sr
2 1 1
Direct
0.000 0.000 0.798
0.000 0.000 0.202
0.500 0.500 0.000
0.500 0.500 0.500
```

Output
energy above the lowest structure with this stoichiometry	126	meV/atom
size of the total moment	4.454	μB/cell
energy relative to the elements	5.46	eV per formula unit

---

KSrMo2 | GGA-PBEsol | optimized geometry

Geometry as POSCAR:
```
KSrMo2
1.0
3.285 0.000 0.000
-1.643 4.097 -0.008
0.000 -0.817 9.319
K Mo Sr
1 2 1
Direct
0.733 0.465 0.181
0.970 0.940 0.902
0.272 0.543 0.823
0.526 0.052 0.594
```

Output
size of the total moment	0.000	μB/cell
energy relative to the elements	3.87	eV per formula unit

---

Question: The highest energy relative to the elements belongs to which entry?
Answer: KSrMo3

---

Question: Look up the energy relative to the elements of the first one.
Answer: 6.62 eV per formula unit

---

Question: energy relative to the elements of number 3 (K2SrMo)?
Answer: 5.46 eV per formula unit

---

Question: Look up the size of the total moment of the fourth one.
Answer: 0.000 μB/cell